Pr2Nd4Th3 (GGA-PBE, optimized geometry); symmetry = P3m1, No. 156; DFT formation energy = 74 kJ/mol of formula units
1.0
3.6182 0.0000 0.0000
-1.8091 3.1335 0.0000
0.0000 0.0000 27.4761
Pr Nd Th
2 4 3
direct
0.0000 0.0000 0.0000 Pr
0.0000 0.0000 0.2159 Pr
0.0000 0.0000 0.3429 Nd
0.0000 0.0000 0.5570 Nd
0.3333 0.6667 0.6702 Nd
0.3333 0.6667 0.8853 Nd
0.0000 0.0000 0.7779 Th
0.3333 0.6667 0.1089 Th
0.3333 0.6667 0.4487 Th

Pr6Nd10Th (GGA-PBE, optimized geometry); symmetry = P-31m, No. 162; DFT formation energy = 231 kJ/mol of formula units
1.0
9.9597 0.0000 0.0000
-4.9798 8.6253 0.0000
0.0000 0.0000 7.1206
Pr Nd Th
6 10 1
direct
0.0000 0.3741 0.3012 Pr
0.0000 0.6259 0.6988 Pr
0.3741 0.0000 0.3012 Pr
0.3741 0.3741 0.6988 Pr
0.6259 0.0000 0.6988 Pr
0.6259 0.6259 0.3012 Pr
0.0000 0.2700 0.8145 Nd
0.0000 0.7300 0.1855 Nd
0.2700 0.0000 0.8145 Nd
0.2700 0.2700 0.1855 Nd
0.3333 0.6667 0.0000 Nd
0.3333 0.6667 0.5000 Nd
0.6667 0.3333 0.0000 Nd
0.6667 0.3333 0.5000 Nd
0.7300 0.0000 0.1855 Nd
0.7300 0.7300 0.8145 Nd
0.0000 0.0000 0.5000 Th

Pr15Nd4Th (GGA-PBE, optimized geometry); symmetry = P4/mmm, No. 123; DFT formation energy = 48 kJ/mol of formula units
1.0
5.2417 0.0000 0.0000
0.0000 5.2417 0.0000
0.0000 0.0000 26.1805
Pr Nd Th
15 4 1
direct
0.0000 0.0000 0.0000 Pr
0.0000 0.0000 0.2002 Pr
0.0000 0.0000 0.4000 Pr
0.0000 0.0000 0.6000 Pr
0.0000 0.0000 0.7998 Pr
0.0000 0.5000 0.0971 Pr
0.0000 0.5000 0.2990 Pr
0.0000 0.5000 0.5000 Pr
0.0000 0.5000 0.7010 Pr
0.0000 0.5000 0.9029 Pr
0.5000 0.0000 0.0971 Pr
0.5000 0.0000 0.2990 Pr
0.5000 0.0000 0.5000 Pr
0.5000 0.0000 0.7010 Pr
0.5000 0.0000 0.9029 Pr
0.5000 0.5000 0.1993 Nd
0.5000 0.5000 0.3999 Nd
0.5000 0.5000 0.6001 Nd
0.5000 0.5000 0.8007 Nd
0.5000 0.5000 0.0000 Th

PrNd4Th (GGA-PBE, optimized geometry); symmetry = Cmcm, No. 63; DFT formation energy = 137 kJ/mol of formula units
1.0
3.3119 -5.7686 0.0000
3.3119 5.7686 0.0000
0.0000 0.0000 10.9759
Pr Nd Th
2 8 2
direct
0.1731 0.8269 0.7500 Pr
0.8269 0.1731 0.2500 Pr
0.1730 0.3410 0.7500 Nd
0.3336 0.6664 0.0636 Nd
0.3336 0.6664 0.4364 Nd
0.3410 0.1730 0.2500 Nd
0.6590 0.8270 0.7500 Nd
0.6664 0.3336 0.5636 Nd
0.6664 0.3336 0.9364 Nd
0.8270 0.6590 0.2500 Nd
0.0000 0.0000 0.0000 Th
0.0000 0.0000 0.5000 Th

Pr3Nd12Th (GGA-PBE, optimized geometry); symmetry = P4/mmm, No. 123; DFT formation energy = 32 kJ/mol of formula units
1.0
5.2062 0.0000 0.0000
0.0000 5.2062 0.0000
0.0000 0.0000 20.8182
Pr Nd Th
3 12 1
direct
0.0000 0.0000 0.0000 Pr
0.0000 0.0000 0.2510 Pr
0.0000 0.0000 0.7490 Pr
0.0000 0.5000 0.1258 Nd
0.0000 0.5000 0.3787 Nd
0.0000 0.5000 0.6213 Nd
0.0000 0.5000 0.8742 Nd
0.5000 0.0000 0.1258 Nd
0.5000 0.0000 0.3787 Nd
0.5000 0.0000 0.6213 Nd
0.5000 0.0000 0.8742 Nd
0.5000 0.5000 0.0000 Nd
0.5000 0.5000 0.2503 Nd
0.5000 0.5000 0.5000 Nd
0.5000 0.5000 0.7497 Nd
0.0000 0.0000 0.5000 Th

Pr4Nd2Th (GGA-PBE, optimized geometry); symmetry = Imma, No. 74; DFT formation energy = 179 kJ/mol of formula units
1.0
-3.4254 5.9395 6.2188
3.4254 -5.9395 6.2188
3.4254 5.9395 -6.2188
Pr Nd Th
8 4 2
direct
0.1543 0.1490 0.0053 Pr
0.2399 0.2155 0.4756 Pr
0.2399 0.7642 0.0244 Pr
0.3562 0.8510 0.5053 Pr
0.6438 0.1490 0.4947 Pr
0.7601 0.2358 0.9756 Pr
0.7601 0.7845 0.5244 Pr
0.8457 0.8510 0.9947 Pr
0.0000 0.5000 0.5000 Nd
0.0268 0.2768 0.7500 Nd
0.5000 0.5000 0.0000 Nd
0.9732 0.7232 0.2500 Nd
0.5000 0.0000 0.0000 Th
0.5000 0.5000 0.5000 Th

Pr8NdTh4 (GGA-PBE, optimized geometry); symmetry = R-3m, No. 166; DFT formation energy = 615 kJ/mol of formula units
1.0
5.9513 3.4360 3.9323
-5.9513 3.4360 3.9323
0.0000 -6.8719 3.9323
Pr Nd Th
8 1 4
direct
0.1667 0.1667 0.6705 Pr
0.1667 0.6705 0.1667 Pr
0.2475 0.2475 0.2475 Pr
0.3295 0.8333 0.8333 Pr
0.6705 0.1667 0.1667 Pr
0.7525 0.7525 0.7525 Pr
0.8333 0.3295 0.8333 Pr
0.8333 0.8333 0.3295 Pr
0.5000 0.5000 0.5000 Nd
0.0000 0.0000 0.0000 Th
0.0000 0.5000 0.5000 Th
0.5000 0.0000 0.5000 Th
0.5000 0.5000 0.0000 Th

PrNd2Th2 (GGA-PBE, optimized geometry); symmetry = I4/mmm, No. 139; DFT formation energy = 14 kJ/mol of formula units
1.0
-1.8121 1.8121 13.0230
1.8121 -1.8121 13.0230
1.8121 1.8121 -13.0230
Pr Nd Th
1 2 2
direct
0.0000 0.0000 0.0000 Pr
0.3945 0.3945 0.0000 Nd
0.6055 0.6055 0.0000 Nd
0.2035 0.2035 0.0000 Th
0.7965 0.7965 0.0000 Th